An optimized crystal structure of RbLaSN2, computed with PBE. Values from VASP.

- energy above the lowest structure with this stoichiometry (meV per atom) = 1013

```
&SYSTEM
  ibrav = 0, nat = 5, ntyp = 4
/
ATOMIC_SPECIES
Rb 85.47 Rb.upf
La 138.91 La.upf
N 14.01 N.upf
S 32.06 S.upf
CELL_PARAMETERS angstrom
4.3755 0.0000 0.0000
0.0000 4.3755 0.0000
0.0000 0.0000 5.8235
ATOMIC_POSITIONS crystal
Rb 0.0000 0.0000 0.0000
La 0.5000 0.5000 0.5000
N 0.5000 0.0000 0.0000
N 0.0000 0.5000 0.0000
S 0.0000 0.0000 0.5000
```